[1]
# Sb2IrICl, optimized geometry, DFT PBE
data_Sb2IrICl
_symmetry_space_group_name_H-M 'P 1'
_symmetry_Int_Tables_number 1
_cell_length_a 5.1527
_cell_length_b 5.1527
_cell_length_c 5.6277
_cell_angle_alpha 90.00
_cell_angle_beta 90.00
_cell_angle_gamma 90.00
loop_
_symmetry_equiv_pos_as_xyz
'x,y,z'
loop_
_atom_site_label
_atom_site_type_symbol
_atom_site_fract_x
_atom_site_fract_y
_atom_site_fract_z
Sb1 Sb 0.0000 0.5000 0.0000
Sb2 Sb 0.5000 0.0000 0.0000
Ir1 Ir 0.0000 0.0000 0.0000
I1 I 0.0000 0.0000 0.5000
Cl1 Cl 0.5000 0.5000 0.5000
# Calculated volume: 149 Å³ per cell
# Crystal system: tetragonal
# Space-group type: P4/mmm (123)
# ΔE_f (raw): 312 meV/atom
# M_tot: 0.00 Bohr magnetons per cell
# Polymorph energy (0 for the lowest one): 0.0 meV/atom

[2]
# UTl3Cl8, optimized geometry, DFT PBE
data_UTl3Cl8
_symmetry_space_group_name_H-M 'P 1'
_symmetry_Int_Tables_number 1
_cell_length_a 9.6560
_cell_length_b 9.6560
_cell_length_c 9.3817
_cell_angle_alpha 90.00
_cell_angle_beta 90.00
_cell_angle_gamma 120.00
loop_
_symmetry_equiv_pos_as_xyz
'x,y,z'
loop_
_atom_site_label
_atom_site_type_symbol
_atom_site_fract_x
_atom_site_fract_y
_atom_site_fract_z
U1 U 0.3333 0.6667 0.0000
U2 U 0.6667 0.3333 0.5000
Tl1 Tl 0.1528 0.3056 0.5681
Tl2 Tl 0.1528 0.8472 0.5681
Tl3 Tl 0.3056 0.1528 0.0681
Tl4 Tl 0.6944 0.8472 0.5681
Tl5 Tl 0.8472 0.1528 0.0681
Tl6 Tl 0.8472 0.6944 0.0681
Cl1 Cl 0.0000 0.0000 0.3616
Cl2 Cl 0.0000 0.0000 0.8616
Cl3 Cl 0.0376 0.5188 0.9155
Cl4 Cl 0.2123 0.4246 0.1721
Cl5 Cl 0.2123 0.7877 0.1721
Cl6 Cl 0.3333 0.6667 0.6952
Cl7 Cl 0.4246 0.2123 0.6721
Cl8 Cl 0.4812 0.5188 0.9155
Cl9 Cl 0.4812 0.9624 0.9155
Cl10 Cl 0.5188 0.0376 0.4155
Cl11 Cl 0.5188 0.4812 0.4155
Cl12 Cl 0.5754 0.7877 0.1721
Cl13 Cl 0.6667 0.3333 0.1952
Cl14 Cl 0.7877 0.2123 0.6721
Cl15 Cl 0.7877 0.5754 0.6721
Cl16 Cl 0.9624 0.4812 0.4155
# Calculated volume: 758 Å³ per cell
# Crystal system: hexagonal
# Space-group type: P6_3mc (186)
# ΔE_f (raw): -1305 meV/atom
# M_tot: 2.01 Bohr magnetons per cell

[3]
# Ce2ThC4, optimized geometry, DFT PBE
data_Ce2ThC4
_symmetry_space_group_name_H-M 'P 1'
_symmetry_Int_Tables_number 1
_cell_length_a 5.4634
_cell_length_b 5.4634
_cell_length_c 4.9154
_cell_angle_alpha 90.00
_cell_angle_beta 90.00
_cell_angle_gamma 123.23
loop_
_symmetry_equiv_pos_as_xyz
'x,y,z'
loop_
_atom_site_label
_atom_site_type_symbol
_atom_site_fract_x
_atom_site_fract_y
_atom_site_fract_z
Ce1 Ce 0.1762 0.8238 0.0000
Ce2 Ce 0.8238 0.1762 0.0000
Th1 Th 0.5000 0.5000 0.5000
C1 C 0.0698 0.9302 0.5000
C2 C 0.4257 0.5743 0.0000
C3 C 0.5743 0.4257 0.0000
C4 C 0.9302 0.0698 0.5000
# Calculated volume: 123 Å³ per cell
# Crystal system: orthorhombic
# Space-group type: Cmmm (65)
# M_tot: 1.87 Bohr magnetons per cell
# Energy of formation from the pure elements: 73 meV/atom

[4]
# KScAg2Hg, optimized geometry, DFT PBE
data_KScAg2Hg
_symmetry_space_group_name_H-M 'P 1'
_symmetry_Int_Tables_number 1
_cell_length_a 5.4348
_cell_length_b 5.4348
_cell_length_c 5.3394
_cell_angle_alpha 90.00
_cell_angle_beta 90.00
_cell_angle_gamma 90.00
loop_
_symmetry_equiv_pos_as_xyz
'x,y,z'
loop_
_atom_site_label
_atom_site_type_symbol
_atom_site_fract_x
_atom_site_fract_y
_atom_site_fract_z
K1 K 0.0000 0.0000 0.0000
Sc1 Sc 0.5000 0.5000 0.0000
Ag1 Ag 0.0000 0.5000 0.5000
Ag2 Ag 0.5000 0.0000 0.5000
Hg1 Hg 0.5000 0.5000 0.5000
# Calculated volume: 158 Å³ per cell
# Crystal system: tetragonal
# Space-group type: P4/mmm (123)
# M_tot: 0.71 Bohr magnetons per cell
# Energy of formation from the pure elements: 367 meV/atom

[5]
# Sr2Pt2Au, optimized geometry, DFT PBE
data_Sr2Pt2Au
_symmetry_space_group_name_H-M 'P 1'
_symmetry_Int_Tables_number 1
_cell_length_a 5.7904
_cell_length_b 5.7904
_cell_length_c 8.6259
_cell_angle_alpha 102.39
_cell_angle_beta 102.39
_cell_angle_gamma 60.26
loop_
_symmetry_equiv_pos_as_xyz
'x,y,z'
loop_
_atom_site_label
_atom_site_type_symbol
_atom_site_fract_x
_atom_site_fract_y
_atom_site_fract_z
Sr1 Sr 0.0075 0.2928 0.1517
Sr2 Sr 0.2928 0.0075 0.6517
Sr3 Sr 0.7072 0.9925 0.3483
Sr4 Sr 0.9925 0.7072 0.8483
Pt1 Pt 0.2281 0.5038 0.4949
Pt2 Pt 0.4962 0.7719 0.0051
Pt3 Pt 0.5038 0.2281 0.9949
Pt4 Pt 0.7719 0.4962 0.5051
Au1 Au 0.3429 0.6571 0.2500
Au2 Au 0.6571 0.3429 0.7500
# Calculated volume: 243 Å³ per cell
# Crystal system: monoclinic
# Space-group type: C2/c (15)
# M_tot: 0.00 Bohr magnetons per cell
# Polymorph energy (0 for the lowest one): 19.2 meV/atom
# Energy of formation from the pure elements: -797 meV/atom

[6]
# Mn6CrGe2N, optimized geometry, DFT PBE
data_Mn6CrGe2N
_symmetry_space_group_name_H-M 'P 1'
_symmetry_Int_Tables_number 1
_cell_length_a 4.1515
_cell_length_b 4.1515
_cell_length_c 8.2793
_cell_angle_alpha 90.00
_cell_angle_beta 90.00
_cell_angle_gamma 90.00
loop_
_symmetry_equiv_pos_as_xyz
'x,y,z'
loop_
_atom_site_label
_atom_site_type_symbol
_atom_site_fract_x
_atom_site_fract_y
_atom_site_fract_z
Mn1 Mn 0.0000 0.0000 0.2277
Mn2 Mn 0.0000 0.0000 0.7723
Mn3 Mn 0.0000 0.5000 0.0000
Mn4 Mn 0.0000 0.5000 0.5000
Mn5 Mn 0.5000 0.0000 0.0000
Mn6 Mn 0.5000 0.0000 0.5000
Cr1 Cr 0.0000 0.0000 0.5000
Ge1 Ge 0.5000 0.5000 0.2567
Ge2 Ge 0.5000 0.5000 0.7433
N1 N 0.0000 0.0000 0.0000
# Calculated volume: 143 Å³ per cell
# Crystal system: tetragonal
# Space-group type: P4/mmm (123)
# ΔE_f (raw): 453 meV/atom
# M_tot: 15.28 Bohr magnetons per cell

[7]
# YICl, optimized geometry, DFT PBE
data_YICl
_symmetry_space_group_name_H-M 'P 1'
_symmetry_Int_Tables_number 1
_cell_length_a 3.9700
_cell_length_b 6.8671
_cell_length_c 8.5499
_cell_angle_alpha 74.01
_cell_angle_beta 77.49
_cell_angle_gamma 90.00
loop_
_symmetry_equiv_pos_as_xyz
'x,y,z'
loop_
_atom_site_label
_atom_site_type_symbol
_atom_site_fract_x
_atom_site_fract_y
_atom_site_fract_z
Y1 Y 0.2488 0.2828 0.0026
Y2 Y 0.7512 0.7172 0.9974
I1 I 0.3819 0.6889 0.7175
I2 I 0.6181 0.3111 0.2825
Cl1 Cl 0.1709 0.8606 0.1695
Cl2 Cl 0.8291 0.1394 0.8305
# Calculated volume: 218 Å³ per cell
# Crystal system: triclinic
# Space-group type: P-1 (2)
# ΔE_f (raw): -1606 meV/atom
# M_tot: 2.01 Bohr magnetons per cell
# Polymorph energy (0 for the lowest one): 0.0 meV/atom

[8]
# Ag2Pd7Au2, optimized geometry, DFT PBE
data_Ag2Pd7Au2
_symmetry_space_group_name_H-M 'P 1'
_symmetry_Int_Tables_number 1
_cell_length_a 5.0185
_cell_length_b 5.0185
_cell_length_c 8.1165
_cell_angle_alpha 95.32
_cell_angle_beta 95.32
_cell_angle_gamma 112.33
loop_
_symmetry_equiv_pos_as_xyz
'x,y,z'
loop_
_atom_site_label
_atom_site_type_symbol
_atom_site_fract_x
_atom_site_fract_y
_atom_site_fract_z
Ag1 Ag 0.2448 0.7552 0.0000
Ag2 Ag 0.7552 0.2448 0.0000
Pd1 Pd 0.1222 0.6601 0.6493
Pd2 Pd 0.3002 0.3002 0.1688
Pd3 Pd 0.3399 0.8778 0.3507
Pd4 Pd 0.5000 0.5000 0.5000
Pd5 Pd 0.6601 0.1222 0.6493
Pd6 Pd 0.6998 0.6998 0.8312
Pd7 Pd 0.8778 0.3399 0.3507
Au1 Au 0.2058 0.2058 0.8029
Au2 Au 0.7942 0.7942 0.1971
# Calculated volume: 186 Å³ per cell
# Crystal system: monoclinic
# Space-group type: C2/m (12)
# M_tot: 0.00 Bohr magnetons per cell
# Polymorph energy (0 for the lowest one): 0.0 meV/atom
# Energy of formation from the pure elements: 60 meV/atom